Record 1
LiCe2Si3Pt12 (PBE, optimized geometry); energy relative to the elements, uncorrected = -561.9 meV per atom; raw total energy = -112.65 eV per formula unit
1.0
4.116 2.376 5.848
-4.116 2.376 5.848
0.000 -4.752 5.848
Li Ce Si Pt
1 2 3 12
direct
0.000 0.000 0.000
0.382 0.382 0.382
0.618 0.618 0.618
0.000 0.000 0.500
0.000 0.500 0.000
0.500 0.000 0.000
0.108 0.641 0.641
0.135 0.135 0.629
0.135 0.629 0.135
0.359 0.359 0.892
0.359 0.892 0.359
0.371 0.865 0.865
0.629 0.135 0.135
0.641 0.108 0.641
0.641 0.641 0.108
0.865 0.371 0.865
0.865 0.865 0.371
0.892 0.359 0.359

***

Record 2
LiCe2Si4Pt3 (PBE, optimized geometry); energy relative to the elements, uncorrected = -992.4 meV per atom; raw total energy = -63.52 eV per formula unit
1.0
4.222 0.000 0.000
0.000 4.222 0.000
0.000 0.000 9.930
Li Ce Si Pt
1 2 4 3
direct
0.000 0.000 0.000
0.000 0.500 0.751
0.500 0.000 0.249
0.000 0.000 0.500
0.000 0.500 0.134
0.500 0.000 0.866
0.500 0.500 0.500
0.000 0.500 0.378
0.500 0.000 0.622
0.500 0.500 0.000

***

- Look up the raw total energy of the first one.
  -112.65 eV per formula unit